Record 1
The following is a DFT calculation (GGA-PBE) of a relaxed structure of YTa2Br.

Cell: 3.3905 3.4984 15.6881 Å, 90.00 90.00 90.00°
Space group Amm2 (No. 38)
Asymmetric unit:
Y 0.0000 0.0000 0.0000 [2 per cell]
Ta 0.0000 0.0000 0.2099 [2 per cell]
Ta 0.5000 0.0000 0.6278 [2 per cell]
Br 0.5000 0.0000 0.3660 [2 per cell]

Values from the calculation:
As for the density of states at the Fermi level: 3.190 states/eV/f.u. Its energy relative to the lowest polymorph listed for this composition is 0 meV per atom. The total DFT energy (no corrections) comes out at -64.2 eV/cell. The calculation puts the total magnetization at 0.0 μB per cell.

Record 2
The following is a DFT calculation (GGA-PBE) of a relaxed structure of TaZn2Br.

Cell: 3.0515 3.0515 8.1817 Å, 90.00 90.00 90.00°
Space group P4/mmm (No. 123)
Asymmetric unit:
Ta 0.0000 0.0000 0.0000 [1 per cell]
Zn 0.5000 0.5000 0.2254 [2 per cell]
Br 0.0000 0.0000 0.5000 [1 per cell]

Values from the calculation:
As for the density of states at the Fermi level: 1.595 states/eV/f.u. Its energy relative to the lowest polymorph listed for this composition is 138 meV per atom. The total DFT energy (no corrections) comes out at -15.1 eV/cell. The calculation puts the total magnetization at 0.0 μB per cell.

Record 3
The following is a DFT calculation (GGA-PBE) of a relaxed structure of Ta3ZnBr.

Cell: 4.7157 4.7157 4.7157 Å, 90.00 90.00 90.00°
Space group Pm-3m (No. 221)
Asymmetric unit:
Ta 0.0000 0.0000 0.5000 [3 per cell]
Zn 0.5000 0.5000 0.5000 [1 per cell]
Br 0.0000 0.0000 0.0000 [1 per cell]

Values from the calculation:
As for the density of states at the Fermi level: 9.067 states/eV/f.u. Its energy relative to the lowest polymorph listed for this composition is 0 meV per atom. The total DFT energy (no corrections) comes out at -30.8 eV/cell. The calculation puts the total magnetization at 0.0 μB per cell.